# 1
VASP calculation (PBE) on crystalline TiInSi2Ag at its relaxed geometry.

The space group is P4/mmm (No. 123) and the conventional cell measures 4.8074, 4.8074 and 5.2959 Å, with angles of 90.00, 90.00 and 90.00 degrees. The asymmetric unit holds Ti at (0.0000, 0.0000, 0.0000), In at (0.0000, 0.0000, 0.5000), Si at (0.0000, 0.5000, 0.0000) and Ag at (0.5000, 0.5000, 0.5000).

For the calculated total energy, the calculation gives -4.22 eV/atom. For the raw formation energy, the calculation gives 649 meV per atom.

---

# 2
VASP calculation (PBE) on crystalline GeS2N2 at its relaxed geometry.

The space group is P4/mmm (No. 123) and the conventional cell measures 3.5666, 3.5666 and 7.2587 Å, with angles of 90.00, 90.00 and 90.00 degrees. The asymmetric unit holds Ge at (0.0000, 0.0000, 0.0000), S at (0.0000, 0.0000, 0.5000), S at (0.5000, 0.5000, 0.5000) and N at (0.0000, 0.5000, 0.0000).

The relative energy among the computed polymorphs comes out at 1435.9 meV per atom. For the calculated total energy, the calculation gives -4.58 eV/atom. For the raw formation energy, the calculation gives 1329 meV per atom.